Material: Pm4Bi2Au
Method: DFT, PBE
State: optimized geometry

Structure (CIF):
```
data_Pm4Bi2Au
_space_group_name_H-M_alt 'P 1'
_space_group_IT_number 1
_space_group_name_Hall 'P 1'
_cell_length_a 5.4674
_cell_length_b 5.4674
_cell_length_c 16.8083
_cell_angle_alpha 90.00
_cell_angle_beta 90.00
_cell_angle_gamma 90.00
loop_
_atom_site_label
_atom_site_fract_x
_atom_site_fract_y
_atom_site_fract_z
Pm1 0.0000 0.0000 0.1760
Pm2 0.0000 0.0000 0.8240
Pm3 0.0000 0.5000 0.0000
Pm4 0.0000 0.5000 0.5000
Pm5 0.5000 0.0000 0.0000
Pm6 0.5000 0.0000 0.5000
Pm7 0.5000 0.5000 0.3240
Pm8 0.5000 0.5000 0.6760
Bi1 0.0000 0.0000 0.3663
Bi2 0.0000 0.0000 0.6337
Bi3 0.5000 0.5000 0.1337
Bi4 0.5000 0.5000 0.8663
Au1 0.0000 0.0000 0.0000
Au2 0.5000 0.5000 0.5000
```

* N(E_F): 0.798 states/eV per atom
* symmetry: I4/mmm (139)
* formation energy from the elements: -459 meV per atom
* magnetization: 0.0 μB/f.u.